# Y2CrHg | Alexandria via LeMat-Bulk | PBE | relaxed
data_Y2CrHg
_chemical_formula_sum 'Y8 Cr4 Hg4'
_symmetry_space_group_name_H-M 'F -4 3 m'
_symmetry_Int_Tables_number 216
_symmetry_space_group_name_Hall 'F -4 2 3'
_cell_length_a 7.223
_cell_length_b 7.223
_cell_length_c 7.223
_cell_angle_alpha 90.00
_cell_angle_beta 90.00
_cell_angle_gamma 90.00
loop_
_atom_site_label
_atom_site_type_symbol
_atom_site_fract_x
_atom_site_fract_y
_atom_site_fract_z
Y1 Y 0.000 0.000 0.000
Y2 Y 0.250 0.250 0.250
Cr1 Cr 0.000 0.000 0.500
Hg1 Hg 0.250 0.250 0.750
# Excess energy over the best structure of this formula in the dataset = 223.9 meV/atom
# ΔE_f = 15.6 kJ per mole of atoms
# Crystal system = cubic
# Total energy = -88.82 eV/cell


# Y2CrHg | Alexandria via LeMat-Bulk | PBE | relaxed
data_Y2CrHg
_chemical_formula_sum 'Y8 Cr4 Hg4'
_symmetry_space_group_name_H-M 'F m -3 m'
_symmetry_Int_Tables_number 225
_symmetry_space_group_name_Hall '-F 4 2 3'
_cell_length_a 7.160
_cell_length_b 7.160
_cell_length_c 7.160
_cell_angle_alpha 90.00
_cell_angle_beta 90.00
_cell_angle_gamma 90.00
loop_
_atom_site_label
_atom_site_type_symbol
_atom_site_fract_x
_atom_site_fract_y
_atom_site_fract_z
Y1 Y 0.250 0.250 0.250
Cr1 Cr 0.000 0.000 0.000
Hg1 Hg 0.000 0.000 0.500
# Excess energy over the best structure of this formula in the dataset = 307.3 meV/atom
# ΔE_f = 23.7 kJ per mole of atoms
# Crystal system = cubic
# Total energy = -87.49 eV/cell